VASP calculation (PBE) on a relaxed CdTe2Cl2 crystal.

CIF file:
```
data_CdTe2Cl2
_space_group_name_H-M_alt 'P 4/m b m'
_space_group_IT_number 127
_space_group_name_Hall '-P 4 2ab'
_cell_length_a 9.347
_cell_length_b 9.347
_cell_length_c 3.128
_cell_angle_alpha 90.00
_cell_angle_beta 90.00
_cell_angle_gamma 90.00
loop_
_atom_site_label
_atom_site_type_symbol
_atom_site_fract_x
_atom_site_fract_y
_atom_site_fract_z
Cd1 Cd 0.000 0.000 0.000
Te1 Te 0.203 0.297 0.500
Cl1 Cl 0.123 0.623 0.000
```

Values from the calculation:
Formation energy (no corrections) = 131 meV/atom